Density functional theory data (PBE-GGA) for a relaxed InCuTePdSe2 crystal.

Cell lengths 7.473, 7.473, 9.689 Å; angles 90.00, 90.00, 150.72 degrees
Positions (direct):
Se 0.129 0.871 0.052
Se 0.129 0.871 0.448
Se 0.871 0.129 0.948
Se 0.871 0.129 0.552
Cu 0.026 0.974 0.250
Cu 0.974 0.026 0.750
Pd 0.500 0.500 0.500
Pd 0.500 0.500 0.000
Te 0.597 0.403 0.750
Te 0.403 0.597 0.250
In 0.715 0.285 0.250
In 0.285 0.715 0.750

## Properties
Space-group type: Cmcm, No. 63
Total DFT energy (no corrections) (eV/atom): -3.807